Entry from the Open Quantum Materials Database: a relaxed PmHo3Tc crystal (PBE).

Cell and atoms, written as extended XYZ:
```
10
Lattice="-7.043 4.499 2.157 -1.943 -3.217 0.365 3.720 -1.366 7.765" Properties=species:S:1:pos:R:3 pbc="T T T"
Pm -0.747 -2.349 4.617
Pm -4.519 2.265 5.669
Tc -2.323 1.280 8.679
Tc -2.943 -1.364 1.608
Ho -5.677 0.395 2.556
Ho 0.411 -0.480 7.730
Ho -5.205 0.826 8.868
Ho -2.283 0.664 3.463
Ho -2.983 -0.748 6.823
Ho -0.061 -0.910 1.418
```

## Properties
ΔH_f (0 K) in eV/atom: -0.0683
V in A^3/atom: 27.79
E in eV/atom: -5.8356

***

Entry from the Open Quantum Materials Database: a relaxed Li4CdIn2Ag crystal (PBE).

Cell and atoms, written as extended XYZ:
```
8
Lattice="4.670 0.000 0.000 0.000 4.670 0.000 0.000 0.000 6.611" Properties=species:S:1:pos:R:3 pbc="T T T"
Li 0.000 2.335 4.998
Li 0.000 0.000 3.306
Li 2.335 0.000 1.613
Li 2.335 2.335 0.000
Cd 2.335 2.335 3.306
In 0.000 2.335 1.587
In 2.335 0.000 5.024
Ag 0.000 0.000 0.000
```

## Properties
V in A^3/atom: 18.02
E in eV/atom: -2.3978

***

Entry from the Open Quantum Materials Database: a relaxed ZnCu crystal (PBE).

Cell and atoms, written as extended XYZ:
```
24
Lattice="13.615 0.000 0.000 0.000 5.288 0.000 0.000 0.000 4.268" Properties=species:S:1:pos:R:3 pbc="T T T"
Cu 13.598 2.656 0.000
Cu 6.068 2.656 2.134
Cu 6.791 1.310 0.000
Cu 12.876 1.310 2.134
Cu 12.847 3.980 2.134
Cu 0.012 5.273 0.000
Cu 10.588 0.005 2.134
Cu 6.820 3.980 0.000
Cu 6.039 5.273 2.134
Cu 3.780 3.960 2.134
Cu 2.270 3.961 0.000
Cu 9.078 0.005 0.000
Zn 4.604 2.683 0.000
Zn 9.022 2.636 0.000
Zn 3.836 1.330 2.134
Zn 1.470 5.249 2.134
Zn 11.412 1.283 0.000
Zn 4.582 5.249 0.000
Zn 10.644 2.636 2.134
Zn 1.447 2.683 2.134
Zn 2.214 1.330 0.000
Zn 11.389 4.004 0.000
Zn 8.278 4.004 2.134
Zn 8.254 1.283 2.134
```

## Properties
ΔH_f (0 K) in eV/atom: -0.0595
V in A^3/atom: 12.80
E in eV/atom: -2.5504

***

Entry from the Open Quantum Materials Database: a relaxed PuBOs crystal (PBE).

Cell and atoms, written as extended XYZ:
```
3
Lattice="-2.355 0.106 3.554 -3.737 -2.051 0.144 -0.416 -3.509 2.388" Properties=species:S:1:pos:R:3 pbc="T T T"
B 0.000 0.000 0.000
Pu -1.627 -1.364 1.522
Os -3.254 -2.727 3.043
```

## Properties
V in A^3/atom: 18.29
E in eV/atom: -9.4354
Offset from the most stable computed form in eV per atom: 0.937

***

Entry from the Open Quantum Materials Database: a relaxed LiH2Pd crystal (PBE).

Cell and atoms, written as extended XYZ:
```
16
Lattice="3.916 0.000 0.000 0.000 3.917 0.000 0.000 0.000 8.498" Properties=species:S:1:pos:R:3 pbc="T T T"
Li 3.915 2.938 7.436
Li 0.002 0.979 1.062
Li 1.960 0.979 3.187
Li 1.957 2.938 5.311
H 0.002 0.979 3.480
H 1.959 2.938 2.893
H 1.960 0.979 0.769
H 0.001 2.938 1.356
H 1.957 0.979 5.605
H 3.914 2.938 5.018
H 3.915 0.979 7.143
H 1.956 2.938 7.730
Pd 0.001 2.938 3.187
Pd 1.959 2.938 1.062
Pd 3.915 0.979 5.311
Pd 1.957 0.979 7.436
```

## Properties
V in A^3/atom: 8.15
E in eV/atom: -3.8355

***

Entry from the Open Quantum Materials Database: a relaxed Gd4GaNi4 crystal (PBE).

Cell and atoms, written as extended XYZ:
```
9
Lattice="5.034 -2.017 0.000 5.034 2.017 0.000 -3.031 0.000 8.652" Properties=species:S:1:pos:R:3 pbc="T T T"
Gd 2.115 0.000 1.360
Gd 2.082 0.000 5.347
Gd 4.923 0.000 7.292
Gd 4.956 0.000 3.305
Ni 9.287 0.000 1.203
Ni -0.866 0.000 5.391
Ni -2.249 0.000 7.449
Ni 7.904 0.000 3.262
Ga 5.034 0.000 0.000
```

## Properties
V in A^3/atom: 19.53
E in eV/atom: -5.3655

***

Entry from the Open Quantum Materials Database: a relaxed Sr2Au crystal (PBE).

Cell and atoms, written as extended XYZ:
```
6
Lattice="-3.254 -5.232 -2.456 -5.323 -2.378 3.163 -6.041 0.784 -2.623" Properties=species:S:1:pos:R:3 pbc="T T T"
Sr -6.475 -3.077 -2.779
Sr -6.116 -4.658 0.114
Sr -7.510 -1.650 0.030
Sr -9.137 -4.266 -1.197
Au -3.655 -1.706 -0.479
Au 0.000 0.000 0.000
```

## Properties
V in A^3/atom: 34.39
E in eV/atom: -1.7599

***

Entry from the Open Quantum Materials Database: a relaxed Ni2SeS crystal (PBE).

Cell and atoms, written as extended XYZ:
```
8
Lattice="-0.261 4.264 2.992 -1.860 -2.959 3.872 4.864 -0.873 1.669" Properties=species:S:1:pos:R:3 pbc="T T T"
Ni 4.652 1.274 3.137
Ni 0.022 -0.004 0.008
Ni 2.473 -0.444 0.849
Ni 3.852 -2.338 3.577
Se -0.303 0.732 5.462
Se 0.686 0.124 2.261
S 3.018 1.876 4.460
S 2.186 -1.886 4.918
```

## Properties
V in A^3/atom: 17.73
E in eV/atom: -4.9813